Record 1
First-principles (PBE) data for a relaxed structure of MgCdTe2, as listed in Alexandria.

Cell: 7.696 7.696 7.409 Å, 90.00 90.00 90.00°
Space group I4/mcm (No. 140)
One atom of each set of equivalent atoms:
Mg: 0.000 0.500 0.250 x4
Cd: 0.000 0.000 0.250 x4
Te: 0.199 0.301 0.000 x8

***

Record 2
First-principles (PBE) data for a relaxed structure of MgCdTe2, as listed in Alexandria.

Cell: 4.153 5.113 10.408 Å, 90.00 90.00 90.00°
Space group Cmm2 (No. 35)
One atom of each set of equivalent atoms:
Mg: 0.000 0.000 0.000 x2
Cd: 0.000 0.500 0.209 x2
Te: 0.000 0.000 0.446 x2
Te: 0.000 0.500 0.798 x2

***

Record 3
First-principles (PBE) data for a relaxed structure of MgCd2Te, as listed in Alexandria.

Cell: 4.616 4.756 9.161 Å, 90.00 90.00 90.00°
Space group Cmmm (No. 65)
One atom of each set of equivalent atoms:
Mg: 0.000 0.000 0.000 x2
Cd: 0.000 0.500 0.220 x4
Te: 0.000 0.000 0.500 x2

Output
Energy relative to the lowest polymorph listed for this composition   0.88 eV per formula unit

***

Which raw formation energy belongs to each record? In order, -0.3218 -0.0792 0.0127 eV/atom.